Below is a geometry-optimized ScCrCd2O6 structure, with properties calculated at the PBE+U level.

Values from the calculation:
magnetization = 1.003 μB per cell
N(E_F) = 0.027 states/eV/f.u.
energy = -0.225 Ha/atom

abc: 4.500 5.440 5.440
angles: 90.00 90.00 90.00
Last column: magnetic moment on the atom in μB.
Fractional coordinates of all 10 atoms:
Sc 0.610 0.500 0.500  -0.01
Cr 0.592 0.000 0.000  1.20
Cd 0.002 0.500 0.000  0.01
Cd 0.002 0.000 0.500  0.01
O 0.711 0.232 0.232  -0.02
O 0.711 0.232 0.768  -0.02
O 0.170 0.500 0.500  -0.01
O 0.228 0.000 0.000  -0.12
O 0.711 0.768 0.768  -0.02
O 0.711 0.768 0.232  -0.02